# 1
Below is an optimized crystal structure of TcB2C, with properties calculated at the PBE-GGA level. Values from VASP.

Cell and atoms, written as Quantum ESPRESSO input:
```
&SYSTEM
  ibrav = 0, nat = 8, ntyp = 3
/
ATOMIC_SPECIES
Tc 98.00 Tc.upf
B 10.81 B.upf
C 12.01 C.upf
CELL_PARAMETERS angstrom
-2.6060 2.6060 2.4453
2.6060 -2.6060 2.4453
2.6060 2.6060 -2.4453
ATOMIC_POSITIONS angstrom
Tc 0.0000 0.0000 0.0000
Tc 0.0000 2.6060 1.2226
B 1.3030 -0.7289 1.8339
B 1.8771 1.3030 0.6113
B 1.3030 3.3349 -0.6113
B 0.7289 1.3030 3.0566
C 2.6060 0.0000 1.2226
C 0.0000 0.0000 2.4453
```

Values from the calculation:
* DFT formation energy: 0.49 eV/atom
* DOS(E_F): 1.4 states/eV/f.u.
* calculated volume: 66 Å³ per cell



# 2
Below is an optimized crystal structure of MgTcMoRh, with properties calculated at the PBE-GGA level. Values from VASP.

Cell and atoms, written as Quantum ESPRESSO input:
```
&SYSTEM
  ibrav = 0, nat = 4, ntyp = 4
/
ATOMIC_SPECIES
Mg 24.30 Mg.upf
Tc 98.00 Tc.upf
Mo 95.94 Mo.upf
Rh 102.91 Rh.upf
CELL_PARAMETERS angstrom
0.0000 3.1144 3.1144
3.1144 0.0000 3.1144
3.1144 3.1144 0.0000
ATOMIC_POSITIONS angstrom
Mg 0.0000 0.0000 0.0000
Tc 4.6715 4.6715 4.6715
Mo 3.1144 3.1144 3.1144
Rh 1.5572 1.5572 1.5572
```

Values from the calculation:
* DFT formation energy: -0.09 eV/atom
* DOS(E_F): 1.1 states/eV/f.u.
* calculated volume: 60 Å³ per cell



# 3
Below is an optimized crystal structure of Nd12Dy5Zn3, with properties calculated at the PBE-GGA level. Values from VASP.

Cell and atoms, written as Quantum ESPRESSO input:
```
&SYSTEM
  ibrav = 0, nat = 80, ntyp = 3
/
ATOMIC_SPECIES
Nd 144.24 Nd.upf
Dy 162.50 Dy.upf
Zn 65.41 Zn.upf
CELL_PARAMETERS angstrom
-9.1138 9.1138 9.1138
9.1138 -9.1138 9.1138
9.1138 9.1138 -9.1138
ATOMIC_POSITIONS angstrom
Nd 8.9694 -1.5472 2.7533
Nd 13.8150 -1.8036 3.0097
Nd 2.7533 -0.1444 1.5472
Nd 10.9174 6.1041 -4.7012
Nd 11.8670 0.1444 1.5472
Nd 10.9174 -3.0097 4.7012
Nd 1.5472 2.7533 -0.1444
Nd 12.1234 4.4125 -1.8036
Nd 6.1041 4.7012 -1.8036
Nd 7.5665 2.7533 0.1444
Nd -0.1444 1.5472 2.7533
Nd 4.7012 -1.8036 6.1041
Nd 8.9694 7.5665 -2.7533
Nd 4.7012 1.8036 3.0097
Nd 7.5665 -2.7533 8.9694
Nd 6.1041 -4.7012 10.9174
Nd 3.0097 4.7012 1.8036
Nd 10.6610 6.3605 0.1444
Nd 2.7533 8.9694 -1.5472
Nd 10.9174 3.0097 4.4125
Nd 1.8036 3.0097 4.7012
Nd 2.7533 0.1444 7.5665
Nd 4.7012 10.9174 -3.0097
Nd 8.9694 1.5472 6.3605
Nd 0.1444 7.5665 2.7533
Nd 4.4125 -1.8036 12.1234
Nd 6.3605 8.9694 1.5472
Nd 7.3101 6.1041 4.4125
Nd -1.8036 6.1041 4.7012
Nd 6.3605 0.1444 10.6610
Nd -1.5472 2.7533 8.9694
Nd 6.1041 4.4125 7.3101
Nd 3.0097 13.8150 -1.8036
Nd 1.5472 11.8670 0.1444
Nd 4.4125 7.3101 6.1041
Nd 0.1444 1.5472 11.8670
Nd 4.4125 10.9174 3.0097
Nd 9.2581 7.5665 6.3605
Nd 1.5472 6.3605 8.9694
Nd 3.0097 4.4125 10.9174
Nd -3.0097 4.7012 10.9174
Nd 7.5665 6.3605 9.2581
Nd -1.8036 12.1234 4.4125
Nd -2.7533 8.9694 7.5665
Nd -1.8036 3.0097 13.8150
Nd 6.3605 9.2581 7.5665
Nd -4.7012 10.9174 6.1041
Nd 0.1444 10.6610 6.3605
Dy 0.0000 0.0000 0.0000
Dy 4.5569 4.5569 -4.5569
Dy 4.5569 -4.5569 4.5569
Dy 9.1138 0.0000 0.0000
Dy 13.6707 2.2784 0.0000
Dy 9.1138 -4.5569 6.8353
Dy 6.8353 9.1138 -4.5569
Dy 6.8353 0.0000 4.5569
Dy 4.5569 6.8353 0.0000
Dy 9.1138 4.5569 2.2784
Dy -4.5569 4.5569 4.5569
Dy 0.0000 9.1138 0.0000
Dy 0.0000 0.0000 9.1138
Dy 4.5569 4.5569 4.5569
Dy 0.0000 4.5569 6.8353
Dy 4.5569 2.2784 9.1138
Dy 2.2784 9.1138 4.5569
Dy 2.2784 0.0000 13.6707
Dy 0.0000 13.6707 2.2784
Dy -4.5569 6.8353 9.1138
Zn 4.5569 2.2784 0.0000
Zn 9.1138 4.5569 -2.2784
Zn 2.2784 0.0000 4.5569
Zn 11.3922 0.0000 4.5569
Zn 0.0000 4.5569 2.2784
Zn 4.5569 -2.2784 9.1138
Zn 4.5569 11.3922 0.0000
Zn 9.1138 4.5569 6.8353
Zn -2.2784 9.1138 4.5569
Zn 6.8353 9.1138 4.5569
Zn 0.0000 4.5569 11.3922
Zn 4.5569 6.8353 9.1138
```

Values from the calculation:
* DFT formation energy: 0.78 eV/atom
* DOS(E_F): 34.2 states/eV/f.u.
* calculated volume: 3028 Å³ per cell



# 4
Below is an optimized crystal structure of LiYCrOs2, with properties calculated at the PBE-GGA level. Values from VASP.

Cell and atoms, written as Quantum ESPRESSO input:
```
&SYSTEM
  ibrav = 0, nat = 5, ntyp = 4
/
ATOMIC_SPECIES
Li 6.94 Li.upf
Y 88.91 Y.upf
Cr 52.00 Cr.upf
Os 190.23 Os.upf
CELL_PARAMETERS angstrom
4.5009 0.0000 0.0000
0.0000 4.5009 0.0000
0.0000 0.0000 5.0077
ATOMIC_POSITIONS angstrom
Li 0.0000 0.0000 0.0000
Y 2.2505 2.2505 0.0000
Cr 2.2505 2.2505 2.5039
Os 0.0000 2.2505 2.5039
Os 2.2505 0.0000 2.5039
```

Values from the calculation:
* DFT formation energy: 0.93 eV/atom
* DOS(E_F): 6.4 states/eV/f.u.
* calculated volume: 101 Å³ per cell



# 5
Below is an optimized crystal structure of RbAcTlPb, with properties calculated at the PBE-GGA level. Values from VASP.

Cell and atoms, written as Quantum ESPRESSO input:
```
&SYSTEM
  ibrav = 0, nat = 4, ntyp = 4
/
ATOMIC_SPECIES
Rb 85.47 Rb.upf
Ac 227.00 Ac.upf
Tl 204.38 Tl.upf
Pb 207.20 Pb.upf
CELL_PARAMETERS angstrom
0.0000 4.2338 4.2338
4.2338 0.0000 4.2338
4.2338 4.2338 0.0000
ATOMIC_POSITIONS angstrom
Rb 0.0000 0.0000 0.0000
Ac 4.2338 4.2338 4.2338
Tl 2.1169 2.1169 2.1169
Pb 6.3507 6.3507 6.3507
```

Values from the calculation:
* DFT formation energy: -0.15 eV/atom
* DOS(E_F): 3.0 states/eV/f.u.
* calculated volume: 152 Å³ per cell



# 6
Below is an optimized crystal structure of RbSr2AlP, with properties calculated at the PBE-GGA level. Values from VASP.

Cell and atoms, written as Quantum ESPRESSO input:
```
&SYSTEM
  ibrav = 0, nat = 5, ntyp = 4
/
ATOMIC_SPECIES
Rb 85.47 Rb.upf
Sr 87.62 Sr.upf
Al 26.98 Al.upf
P 30.97 P.upf
CELL_PARAMETERS angstrom
6.4590 0.0000 0.0000
0.0000 6.4590 0.0000
0.0000 0.0000 4.8700
ATOMIC_POSITIONS angstrom
Rb 0.0000 0.0000 0.0000
Sr 0.0000 3.2295 2.4350
Sr 3.2295 0.0000 2.4350
Al 3.2295 3.2295 2.4350
P 3.2295 3.2295 0.0000
```

Values from the calculation:
* DFT formation energy: 0.16 eV/atom
* DOS(E_F): 6.5 states/eV/f.u.
* calculated volume: 203 Å³ per cell



# 7
Below is an optimized crystal structure of CaDy2CdPd4, with properties calculated at the PBE-GGA level. Values from VASP.

Cell and atoms, written as Quantum ESPRESSO input:
```
&SYSTEM
  ibrav = 0, nat = 8, ntyp = 4
/
ATOMIC_SPECIES
Ca 40.08 Ca.upf
Dy 162.50 Dy.upf
Cd 112.41 Cd.upf
Pd 106.42 Pd.upf
CELL_PARAMETERS angstrom
2.4367 1.4069 8.0018
-2.4367 1.4069 8.0018
0.0000 -2.8137 8.0018
ATOMIC_POSITIONS angstrom
Ca 0.0000 0.0000 0.0000
Dy 0.0000 0.0000 5.8796
Dy 0.0000 0.0000 18.1259
Cd 0.0000 0.0000 12.0028
Pd 0.0000 0.0000 2.9920
Pd 0.0000 0.0000 9.0541
Pd 0.0000 0.0000 14.9514
Pd 0.0000 0.0000 21.0135
```

Values from the calculation:
* DFT formation energy: -0.75 eV/atom
* DOS(E_F): 3.4 states/eV/f.u.
* calculated volume: 165 Å³ per cell